A plane-wave DFT calculation with PBE was carried out for crystalline Hf4SN2 at its relaxed geometry.

Cell lengths 4.627, 4.627, 6.774 Å; angles 70.03, 70.03, 90.00 degrees
Fractional coordinates of all 7 atoms:
S 0.000 0.000 0.000
Hf 0.243 0.243 0.513
Hf 0.757 0.757 0.487
Hf 0.000 0.500 0.000
Hf 0.500 0.000 0.000
N 0.404 0.404 0.192
N 0.596 0.596 0.808

formation energy without anion corrections: -0.272 eV/atom
DFT total energy: -8.928 eV/atom